Density functional theory data (meta-GGA SCAN) for SiAsSe2 at its PBEsol-relaxed geometry.

```
SiAsSe2
1.0
0.000 3.302 3.302
3.302 0.000 3.302
3.302 3.302 0.000
Si As Se
1 1 2
Cartesian
0.000 0.000 0.000
1.651 1.651 1.651
3.302 3.302 3.302
4.952 4.952 4.952
```

**Spin magnetization**: 0.0 Bohr magnetons per cell
**Uncorrected formation energy**: 0.69 eV/atom
**Relative energy among the computed polymorphs**: 0.397 eV/atom
**Calculated total energy**: -16.898 eV/atom